DFT (PBE-GGA) results for PuThS2O after structural relaxation.

As for the calculated density: 8.723 g/cm³. Its uncorrected formation energy is -2.227 eV/atom. For the volume, the calculation gives 212 Å³ per cell.

The space group is P4/nmm (No. 129, origin choice 2) and the conventional cell measures 3.960, 3.960 and 13.507 Å, with angles of 90.00, 90.00 and 90.00 degrees. The inequivalent atoms are Pu at (0.250, 0.250, 0.089), Th at (0.250, 0.250, 0.609), S at (0.250, 0.250, 0.386), S at (0.250, 0.250, 0.810) and O at (0.250, 0.750, 0.000).


DFT (PBE-GGA) results for Ac3CuOs after structural relaxation.

As for the calculated density: 9.141 g/cm³. The formation energy comes out at -0.03 eV/atom. For the volume, the calculation gives 679 Å³ per cell.

The space group is C2/m (No. 12) and the conventional cell measures 14.944, 4.580 and 10.192 Å, with angles of 90.00, 103.20 and 90.00 degrees. The inequivalent atoms are Ac at (0.032, 0.000, 0.289), Ac at (0.144, 0.500, 0.989), Ac at (0.169, 0.500, 0.614), Cu at (0.183, 0.500, 0.303) and Os at (0.171, 0.000, 0.801).


DFT (PBE-GGA) results for CaErTm after structural relaxation.

As for the calculated density: 6.078 g/cm³. The formation energy comes out at 0.40 eV/atom. For the volume, the calculation gives 206 Å³ per cell.

The space group is P4/nmm (No. 129, origin choice 2) and the conventional cell measures 4.781, 4.781 and 8.996 Å, with angles of 90.00, 90.00 and 90.00 degrees. The inequivalent atoms are Ca at (0.250, 0.750, 0.000), Er at (0.250, 0.250, 0.315) and Tm at (0.250, 0.250, 0.684).


DFT (PBE-GGA) results for ZnAgAu2 after structural relaxation.

As for the calculated density: 13.632 g/cm³. The formation energy comes out at -0.08 eV/atom. For the volume, the calculation gives 69 Å³ per cell.

The space group is Pm (No. 6) and the conventional cell measures 2.947, 4.337 and 5.565 Å, with angles of 90.00, 103.77 and 90.00 degrees. The inequivalent atoms are Zn at (0.000, 0.000, 0.000), Ag at (0.376, 0.500, 0.260), Au at (0.551, 0.500, 0.785) and Au at (0.969, 0.000, 0.499).


DFT (PBE-GGA) results for Rb2ZrCuO4 after structural relaxation.

As for the calculated density: 3.546 g/cm³. Its uncorrected formation energy is -1.675 eV/atom. For the volume, the calculation gives 1460 Å³ per cell.

The space group is Fddd (No. 70, origin choice 2) and the conventional cell measures 5.317, 12.660 and 21.689 Å, with angles of 90.00, 90.00 and 90.00 degrees. The inequivalent atoms are Rb at (0.125, 0.125, 0.308), Zr at (0.125, 0.125, 0.125), Cu at (0.125, 0.125, 0.625) and O at (0.123, 0.281, 0.417).